1.
First-principles (GGA-PBE) data for crystalline PmHo8Hg2 at its relaxed geometry, as listed in Alexandria via LeMat-Bulk.

Calculated values
Size of the total moment (μB/f.u.): 0.000
Formation energy from the elements (eV/atom): -0.05
Symmetry: C2/m, No. 12
Total energy (eV/atom): -3.862

a = 8.6082 Å, b = 8.6082 Å, c = 5.5228 Å
α = 100.25°, β = 100.25°, γ = 118.59°
With the nearest neighbours (Å) after each atom.
Atoms (fractional coordinates):
Pm1 0.0000 0.0000 0.0000  12 Ho 3.30-3.69
Ho1 0.0919 0.3215 0.6084  2 Hg 3.07-3.31, 2 Ho 3.40-3.41
Ho2 0.2261 0.7739 0.0000  2 Hg 3.01, 1 Pm 3.35
Ho3 0.3215 0.0919 0.6084  2 Hg 3.07-3.31, 2 Ho 3.40-3.41
Ho4 0.4005 0.4005 0.2020  2 Ho 3.14-3.28, 2 Hg 3.27, 1 Pm 3.30
Ho5 0.5995 0.5995 0.7980  2 Ho 3.14-3.28, 2 Hg 3.27, 1 Pm 3.30
Ho6 0.6785 0.9081 0.3916  2 Hg 3.07-3.31, 2 Ho 3.40-3.41
Ho7 0.7739 0.2261 0.0000  2 Hg 3.01, 1 Pm 3.35
Ho8 0.9081 0.6785 0.3916  2 Hg 3.07-3.31, 2 Ho 3.40-3.41
Hg1 0.3065 0.6935 0.5000  8 Ho 3.01-3.31
Hg2 0.6935 0.3065 0.5000  8 Ho 3.01-3.31

***

2.
First-principles (GGA-PBE) data for crystalline MnFeGeB2 at its relaxed geometry, as listed in Alexandria via LeMat-Bulk.

Calculated values
Size of the total moment (μB/f.u.): 2.407
Formation energy from the elements (eV/atom): 1.02
Symmetry: P4/mmm, No. 123
Total energy (eV/atom): -6.100

a = 3.8466 Å, b = 3.8466 Å, c = 4.5322 Å
α = 90.00°, β = 90.00°, γ = 90.00°
With the nearest neighbours (Å) after each atom.
Atoms (fractional coordinates):
Mn1 0.0000 0.0000 0.0000  4 B 1.92
Fe1 0.0000 0.0000 0.5000  2 Mn 2.27
Ge1 0.5000 0.5000 0.5000  4 Fe 2.72, 8 B 2.97
B1 0.0000 0.5000 0.0000  2 Mn 1.92
B2 0.5000 0.0000 0.0000  2 Mn 1.92

***

3.
First-principles (GGA-PBE) data for crystalline Ag5Sn at its relaxed geometry, as listed in Alexandria via LeMat-Bulk.

Calculated values
Size of the total moment (μB/f.u.): 0.000
Formation energy from the elements (eV/atom): 0.02
Symmetry: Cmmm, No. 65
Total energy (eV/atom): -3.026

a = 6.6403 Å, b = 6.6403 Å, c = 4.2892 Å
α = 90.00°, β = 90.00°, γ = 143.19°
With the nearest neighbours (Å) after each atom.
Atoms (fractional coordinates):
Ag1 0.0000 0.0000 0.0000  4 Sn 3.00, 8 Ag 3.00-3.02
Ag2 0.1683 0.8317 0.5000  10 Ag 2.94-3.02, 2 Sn 2.98
Ag3 0.3298 0.6702 0.0000  10 Ag 2.91-3.00, 2 Sn 3.03
Ag4 0.6702 0.3298 0.0000  10 Ag 2.91-3.00, 2 Sn 3.03
Ag5 0.8317 0.1683 0.5000  10 Ag 2.94-3.02, 2 Sn 2.98
Sn1 0.5000 0.5000 0.5000  12 Ag 2.98-3.03

***

Question: Among the records above, which one has the lowest total energy?
Answer: MnFeGeB2

***

Copy entry 1 word for word.
First-principles (GGA-PBE) data for crystalline PmHo8Hg2 at its relaxed geometry, as listed in Alexandria via LeMat-Bulk.

Calculated values
Size of the total moment (μB/f.u.): 0.000
Formation energy from the elements (eV/atom): -0.05
Symmetry: C2/m, No. 12
Total energy (eV/atom): -3.862

a = 8.6082 Å, b = 8.6082 Å, c = 5.5228 Å
α = 100.25°, β = 100.25°, γ = 118.59°
With the nearest neighbours (Å) after each atom.
Atoms (fractional coordinates):
Pm1 0.0000 0.0000 0.0000  12 Ho 3.30-3.69
Ho1 0.0919 0.3215 0.6084  2 Hg 3.07-3.31, 2 Ho 3.40-3.41
Ho2 0.2261 0.7739 0.0000  2 Hg 3.01, 1 Pm 3.35
Ho3 0.3215 0.0919 0.6084  2 Hg 3.07-3.31, 2 Ho 3.40-3.41
Ho4 0.4005 0.4005 0.2020  2 Ho 3.14-3.28, 2 Hg 3.27, 1 Pm 3.30
Ho5 0.5995 0.5995 0.7980  2 Ho 3.14-3.28, 2 Hg 3.27, 1 Pm 3.30
Ho6 0.6785 0.9081 0.3916  2 Hg 3.07-3.31, 2 Ho 3.40-3.41
Ho7 0.7739 0.2261 0.0000  2 Hg 3.01, 1 Pm 3.35
Ho8 0.9081 0.6785 0.3916  2 Hg 3.07-3.31, 2 Ho 3.40-3.41
Hg1 0.3065 0.6935 0.5000  8 Ho 3.01-3.31
Hg2 0.6935 0.3065 0.5000  8 Ho 3.01-3.31